[1]
DFT (GGA-PBE) results for a relaxed structure of TbNiRh.

Structure (POSCAR):
```
TbNiRh
1.0
-2.527 2.712 3.671
2.527 -2.712 3.671
2.527 2.712 -3.671
Tb Ni Rh
2 2 2
direct
0.370 0.120 0.250 Tb
0.630 0.880 0.750 Tb
0.000 0.000 0.500 Ni
0.000 0.500 0.000 Ni
0.000 0.500 0.500 Rh
0.500 0.500 0.000 Rh
```

Properties
The crystal system is orthorhombic. As for the calculated volume: 16.8 A^3/atom. Its density of states at the Fermi level is 5.77 states/eV per cell.

[2]
DFT (GGA-PBE) results for a relaxed structure of Tb5Ni2Rh.

Structure (POSCAR):
```
Tb5Ni2Rh
1.0
-3.556 3.556 7.298
3.556 -3.556 7.298
3.556 3.556 -7.298
Tb Ni Rh
10 4 2
direct
0.000 0.000 0.000 Tb
0.028 0.528 0.845 Tb
0.183 0.028 0.500 Tb
0.317 0.817 0.845 Tb
0.472 0.317 0.500 Tb
0.500 0.500 0.000 Tb
0.528 0.683 0.500 Tb
0.683 0.183 0.155 Tb
0.817 0.972 0.500 Tb
0.972 0.472 0.155 Tb
0.121 0.379 0.500 Ni
0.379 0.879 0.257 Ni
0.621 0.121 0.743 Ni
0.879 0.621 0.500 Ni
0.250 0.250 0.000 Rh
0.750 0.750 0.000 Rh
```

Properties
The crystal system is tetragonal. As for the calculated volume: 23.1 A^3/atom. Its density of states at the Fermi level is 15.76 states/eV per cell.

[3]
DFT (GGA-PBE) results for a relaxed structure of Tb12Ni6Rh.

Structure (POSCAR):
```
Tb12Ni6Rh
1.0
6.073 3.506 3.881
-6.073 3.506 3.881
0.000 -7.012 3.881
Tb Ni Rh
12 6 1
direct
0.052 0.676 0.908 Tb
0.092 0.948 0.324 Tb
0.182 0.411 0.575 Tb
0.324 0.092 0.948 Tb
0.411 0.575 0.182 Tb
0.425 0.818 0.589 Tb
0.575 0.182 0.411 Tb
0.589 0.425 0.818 Tb
0.676 0.908 0.052 Tb
0.818 0.589 0.425 Tb
0.908 0.052 0.676 Tb
0.948 0.324 0.092 Tb
0.130 0.614 0.314 Ni
0.314 0.130 0.614 Ni
0.386 0.686 0.870 Ni
0.614 0.314 0.130 Ni
0.686 0.870 0.386 Ni
0.870 0.386 0.686 Ni
0.000 0.000 0.000 Rh
```

Properties
The crystal system is trigonal. As for the calculated volume: 26.1 A^3/atom. Its density of states at the Fermi level is 19.13 states/eV per cell.

[4]
DFT (GGA-PBE) results for a relaxed structure of TbNiRh.

Structure (POSCAR):
```
TbNiRh
1.0
-1.694 1.694 4.599
1.694 -1.694 4.599
1.694 1.694 -4.599
Tb Ni Rh
1 1 1
direct
0.000 0.000 0.000 Tb
0.698 0.698 0.000 Ni
0.305 0.305 0.000 Rh
```

Properties
The crystal system is tetragonal. As for the calculated volume: 17.6 A^3/atom. Its density of states at the Fermi level is 3.18 states/eV per cell.

[5]
DFT (GGA-PBE) results for a relaxed structure of TbNi4Rh2.

Structure (POSCAR):
```
TbNi4Rh2
1.0
-3.114 3.114 2.544
3.114 -3.114 2.544
3.114 3.114 -2.544
Tb Ni Rh
1 4 2
direct
0.000 0.000 0.000 Tb
0.307 0.307 0.613 Ni
0.307 0.693 0.000 Ni
0.693 0.307 0.000 Ni
0.693 0.693 0.387 Ni
0.250 0.750 0.500 Rh
0.750 0.250 0.500 Rh
```

Properties
The crystal system is tetragonal. As for the calculated volume: 14.1 A^3/atom. Its density of states at the Fermi level is 6.96 states/eV per cell.

[6]
DFT (GGA-PBE) results for a relaxed structure of TbNi4Rh.

Structure (POSCAR):
```
TbNi4Rh
1.0
7.200 0.000 0.000
0.000 3.815 0.000
0.000 0.000 6.519
Tb Ni Rh
2 8 2
direct
0.250 0.000 0.143 Tb
0.750 0.000 0.857 Tb
0.000 0.000 0.500 Ni
0.033 0.500 0.771 Ni
0.250 0.500 0.470 Ni
0.467 0.500 0.771 Ni
0.500 0.000 0.500 Ni
0.533 0.500 0.229 Ni
0.750 0.500 0.530 Ni
0.967 0.500 0.229 Ni
0.250 0.000 0.742 Rh
0.750 0.000 0.258 Rh
```

Properties
The crystal system is orthorhombic. As for the calculated volume: 14.9 A^3/atom. Its density of states at the Fermi level is 19.26 states/eV per cell. The value obtained for the relative energy among the computed polymorphs is 0.191 eV/atom.

[7]
DFT (GGA-PBE) results for a relaxed structure of Tb3Ni7Rh2.

Structure (POSCAR):
```
Tb3Ni7Rh2
1.0
2.516 1.452 8.333
-2.516 1.452 8.333
0.000 -2.905 8.333
Tb Ni Rh
3 7 2
direct
0.000 0.000 0.000 Tb
0.139 0.139 0.139 Tb
0.861 0.861 0.861 Tb
0.084 0.585 0.585 Ni
0.415 0.415 0.916 Ni
0.415 0.916 0.415 Ni
0.500 0.500 0.500 Ni
0.585 0.084 0.585 Ni
0.585 0.585 0.084 Ni
0.916 0.415 0.415 Ni
0.332 0.332 0.332 Rh
0.668 0.668 0.668 Rh
```

Properties
The crystal system is trigonal. As for the calculated volume: 15.2 A^3/atom. Its density of states at the Fermi level is 15.61 states/eV per cell.

[8]
DFT (GGA-PBE) results for a relaxed structure of Tb3NiRh8.

Structure (POSCAR):
```
Tb3NiRh8
1.0
2.644 1.527 8.679
-2.644 1.527 8.679
0.000 -3.053 8.679
Tb Ni Rh
3 1 8
direct
0.000 0.000 0.000 Tb
0.131 0.131 0.131 Tb
0.520 0.520 0.520 Tb
0.651 0.651 0.651 Ni
0.069 0.567 0.567 Rh
0.070 0.070 0.569 Rh
0.070 0.569 0.070 Rh
0.318 0.318 0.318 Rh
0.567 0.069 0.567 Rh
0.567 0.567 0.069 Rh
0.569 0.070 0.070 Rh
0.819 0.819 0.819 Rh
```

Properties
The crystal system is trigonal. As for the calculated volume: 17.5 A^3/atom. Its density of states at the Fermi level is 11.22 states/eV per cell.

[9]
DFT (GGA-PBE) results for a relaxed structure of TbNiRh3.

Structure (POSCAR):
```
TbNiRh3
1.0
3.458 -5.962 0.000
3.458 5.962 0.000
0.000 0.000 4.713
Tb Ni Rh
2 2 6
direct
0.105 0.895 0.750 Tb
0.895 0.105 0.250 Tb
0.321 0.679 0.750 Ni
0.679 0.321 0.250 Ni
0.098 0.543 0.250 Rh
0.457 0.902 0.250 Rh
0.500 0.500 0.000 Rh
0.500 0.500 0.500 Rh
0.543 0.098 0.750 Rh
0.902 0.457 0.750 Rh
```

Properties
The crystal system is orthorhombic. As for the calculated volume: 19.4 A^3/atom. Its density of states at the Fermi level is 13.37 states/eV per cell.

[10]
DFT (GGA-PBE) results for a relaxed structure of TbNiRh.

Structure (POSCAR):
```
TbNiRh
1.0
4.131 0.000 0.000
-2.066 3.578 0.000
0.000 0.000 3.777
Tb Ni Rh
1 1 1
direct
0.000 0.000 0.000 Tb
0.333 0.667 0.500 Ni
0.667 0.333 0.500 Rh
```

Properties
The crystal system is hexagonal. As for the calculated volume: 18.6 A^3/atom. Its density of states at the Fermi level is 1.78 states/eV per cell.

[11]
DFT (GGA-PBE) results for a relaxed structure of Tb3Ni2Rh.

Structure (POSCAR):
```
Tb3Ni2Rh
1.0
11.349 0.000 0.000
0.000 3.958 0.000
0.000 0.000 11.447
Tb Ni Rh
12 8 4
direct
0.055 0.250 0.123 Tb
0.121 0.750 0.559 Tb
0.209 0.250 0.808 Tb
0.291 0.750 0.308 Tb
0.379 0.250 0.059 Tb
0.445 0.750 0.623 Tb
0.555 0.250 0.377 Tb
0.621 0.750 0.941 Tb
0.709 0.250 0.692 Tb
0.791 0.750 0.192 Tb
0.879 0.250 0.441 Tb
0.945 0.750 0.877 Tb
0.010 0.750 0.304 Ni
0.182 0.750 0.996 Ni
0.318 0.250 0.496 Ni
0.490 0.250 0.804 Ni
0.510 0.750 0.196 Ni
0.682 0.750 0.504 Ni
0.818 0.250 0.004 Ni
0.990 0.250 0.696 Ni
0.126 0.250 0.373 Rh
0.374 0.750 0.873 Rh
0.626 0.250 0.127 Rh
0.874 0.750 0.627 Rh
```

Properties
The crystal system is orthorhombic. As for the calculated volume: 21.4 A^3/atom. Its density of states at the Fermi level is 18.55 states/eV per cell.

[12]
DFT (GGA-PBE) results for a relaxed structure of Tb2Ni7Rh.

Structure (POSCAR):
```
Tb2Ni7Rh
1.0
3.845 0.000 0.000
0.000 3.845 0.000
0.000 0.000 10.208
Tb Ni Rh
2 7 1
direct
0.000 0.500 0.247 Tb
0.500 0.000 0.753 Tb
0.000 0.000 0.000 Ni
0.000 0.500 0.647 Ni
0.000 0.500 0.866 Ni
0.500 0.000 0.134 Ni
0.500 0.000 0.353 Ni
0.500 0.500 0.000 Ni
0.500 0.500 0.500 Ni
0.000 0.000 0.500 Rh
```

Properties
The crystal system is tetragonal. As for the calculated volume: 15.1 A^3/atom. Its density of states at the Fermi level is 15.44 states/eV per cell.

Number 1: energy of formation from the pure elements -59.11 kJ per mole of atoms. Number 2: energy of formation from the pure elements -42.44 kJ per mole of atoms. Number 3: energy of formation from the pure elements -23.08 kJ per mole of atoms. Number 4: energy of formation from the pure elements -29.03 kJ per mole of atoms. Number 5: energy of formation from the pure elements -26.27 kJ per mole of atoms. Number 6: energy of formation from the pure elements -6.35 kJ per mole of atoms. Number 7: energy of formation from the pure elements -40.27 kJ per mole of atoms. Number 8: energy of formation from the pure elements -46.52 kJ per mole of atoms. Number 9: energy of formation from the pure elements 23.59 kJ per mole of atoms. Number 10: energy of formation from the pure elements -52.32 kJ per mole of atoms. Number 11: energy of formation from the pure elements -46.90 kJ per mole of atoms. Number 12: energy of formation from the pure elements -19.53 kJ per mole of atoms.